one) Co5Te3 | PBE | relaxed

Unit cell a=6.9397 b=8.8870 c=3.9834 alpha=90.00 beta=90.00 gamma=90.00
Last column: nearest neighbours and their distance in Å.
Space group Cmmm (No. 65)
Symmetry-distinct sites (fractional):
Co (0.0000, 0.0000, 0.0000) (multiplicity 2)  4 Te 2.61, 8 Co 2.74-2.82
Co (0.2281, 0.5000, 0.5000) (multiplicity 4)  4 Te 2.53-2.54, 2 Co 2.74
Co (0.2500, 0.2500, 0.0000) (multiplicity 4)  6 Te 2.69-2.82, 6 Co 2.82-2.99
Te (0.0000, 0.1905, 0.5000) (multiplicity 4)  8 Co 2.53-2.69
Te (0.0000, 0.5000, 0.0000) (multiplicity 2)  8 Co 2.54-2.82

Properties
* crystal system: orthorhombic
* mass density: 9.2 g/cm³

---

two) Co5Te3 | PBE | relaxed

Unit cell a=12.9146 b=7.4753 c=5.2163 alpha=90.00 beta=90.00 gamma=90.00
Last column: nearest neighbours and their distance in Å.
Space group Cmcm (No. 63)
Symmetry-distinct sites (fractional):
Co (0.0000, 0.1293, 0.2500) (multiplicity 4)  5 Te 2.42-2.65, 4 Co 2.69
Co (0.1665, 0.0000, 0.0000) (multiplicity 8)  8 Co 2.61-2.70, 6 Te 2.90-2.91
Co (0.1855, 0.3146, 0.7500) (multiplicity 8)  5 Te 2.42-2.65, 4 Co 2.70
Te (0.0000, 0.1942, 0.7500) (multiplicity 4)  5 Co 2.42-2.65
Te (0.1526, 0.3478, 0.2500) (multiplicity 8)  5 Co 2.42-2.65

Properties
* crystal system: orthorhombic
* mass density: 8.9 g/cm³

---

Stability ranking, top and bottom: two) is the most stable and one) is the least stable.

---

one) Th2CoTe | PBE | relaxed

Unit cell a=4.0854 b=4.0854 c=22.9563 alpha=90.00 beta=90.00 gamma=120.00
Last column: nearest neighbours and their distance in Å.
Space group R-3m (No. 166, hexagonal axes)
Symmetry-distinct sites (fractional):
Th (0.0000, 0.0000, 0.2313) (multiplicity 6)  3 Co 2.79
Co (0.0000, 0.0000, 0.5000) (multiplicity 3)  6 Th 2.79
Te (0.0000, 0.0000, 0.0000) (multiplicity 3)  6 Th 3.32

Properties
* crystal system: trigonal
* mass density: 9.8 g/cm³

---

two) Th2CoTe | PBE | relaxed

Unit cell a=4.0598 b=4.0598 c=23.2645 alpha=90.00 beta=90.00 gamma=120.00
Last column: nearest neighbours and their distance in Å.
Space group R3m (No. 160, hexagonal axes)
Symmetry-distinct sites (fractional):
Th (0.0000, 0.0000, 0.0000) (multiplicity 3)  3 Co 2.76
Th (0.0000, 0.0000, 0.2046) (multiplicity 3)  3 Co 2.80
Co (0.0000, 0.0000, 0.6041) (multiplicity 3)  6 Th 2.76-2.80
Te (0.0000, 0.0000, 0.4354) (multiplicity 3)  6 Th 3.34-3.35

Properties
* crystal system: trigonal
* mass density: 9.8 g/cm³

---

Stability ranking, top and bottom: one) is the most stable and two) is the least stable.

---

one) Th4CoTe3 | PBE | relaxed

Unit cell a=7.8664 b=8.8654 c=7.4221 alpha=90.00 beta=109.22 gamma=90.00
Last column: nearest neighbours and their distance in Å.
Space group P2/c (No. 13)
Symmetry-distinct sites (fractional):
Th (0.2010, 0.0998, 0.0096) (multiplicity 4)  2 Co 2.75-2.85
Th (0.2176, 0.3496, 0.4683) (multiplicity 4)  1 Co 2.78, 1 Te 3.11
Co (0.0000, 0.1234, 0.2500) (multiplicity 2)  6 Th 2.75-2.85
Te (0.0000, 0.3698, 0.7500) (multiplicity 2)  6 Th 3.11-3.15
Te (0.5000, 0.1309, 0.7500) (multiplicity 2)  6 Th 3.16-3.51
Te (0.5000, 0.3803, 0.2500) (multiplicity 2)  6 Th 3.16-3.48

Properties
* crystal system: monoclinic
* mass density: 9.3 g/cm³

---

two) Th4CoTe3 | PBE | relaxed

Unit cell a=6.2664 b=12.3784 c=6.2666 alpha=90.00 beta=90.00 gamma=90.00
Last column: nearest neighbours and their distance in Å.
Space group Pmmn (No. 59, origin choice 2)
Symmetry-distinct sites (fractional):
Th (0.2500, 0.0461, 0.2483) (multiplicity 4)  1 Co 2.52
Th (0.2500, 0.2500, 0.7488) (multiplicity 2)  4 Te 3.09-3.13, 2 Co 3.13
Th (0.2500, 0.7500, 0.7520) (multiplicity 2)  4 Te 3.09-3.13, 2 Co 3.13
Co (0.2500, 0.2500, 0.2486) (multiplicity 2)  2 Th 2.52
Te (0.2500, 0.0000, 0.7484) (multiplicity 4)  6 Th 3.09-3.19
Te (0.2500, 0.7500, 0.2518) (multiplicity 2)  4 Th 3.13

Properties
* crystal system: orthorhombic
* mass density: 9.4 g/cm³

---

Stability ranking, top and bottom: one) is the most stable and two) is the least stable.

---

one) Ti3CoTe | PBE | relaxed

Unit cell a=7.0433 b=3.7221 c=7.1885 alpha=90.00 beta=114.05 gamma=90.00
Last column: nearest neighbours and their distance in Å.
Space group P2_1/m (No. 11)
Symmetry-distinct sites (fractional):
Ti (0.0218, 0.2500, 0.2094) (multiplicity 2)  3 Co 2.61-2.63, 2 Te 2.86, 2 Ti 2.91
Ti (0.3206, 0.7500, 0.5932) (multiplicity 2)  3 Co 2.49-2.62
Ti (0.3261, 0.2500, 0.9161) (multiplicity 2)  1 Co 2.24
Co (0.0856, 0.2500, 0.5939) (multiplicity 2)  3 Ti 2.24-2.49, 2 Co 2.33
Te (0.3269, 0.7500, 0.2004) (multiplicity 2)  9 Ti 2.76-2.97

Properties
* crystal system: monoclinic
* mass density: 6.4 g/cm³

---

two) Ti3CoTe | PBE | relaxed

Unit cell a=4.5331 b=4.5331 c=4.5331 alpha=90.00 beta=90.00 gamma=90.00
Last column: nearest neighbours and their distance in Å.
Space group Pm-3m (No. 221)
Symmetry-distinct sites (fractional):
Ti (0.0000, 0.0000, 0.5000) (multiplicity 3)  2 Co 2.27
Co (0.0000, 0.0000, 0.0000) (multiplicity 1)  6 Ti 2.27
Te (0.5000, 0.5000, 0.5000) (multiplicity 1)  12 Ti 3.21

Properties
* crystal system: cubic
* mass density: 5.9 g/cm³

---

Stability ranking, top and bottom: one) is the most stable and two) is the least stable.

---

one) TlCoTe | PBE | relaxed

Unit cell a=4.2307 b=4.2307 c=8.3969 alpha=90.00 beta=90.00 gamma=90.00
Last column: nearest neighbours and their distance in Å.
Space group P4/nmm (No. 129, origin choice 2)
Symmetry-distinct sites (fractional):
Tl (0.2500, 0.2500, 0.1559) (multiplicity 2)  4 Te 3.34, 4 Co 3.58
Co (0.2500, 0.7500, 0.5000) (multiplicity 2)  4 Te 2.54
Te (0.2500, 0.2500, 0.6685) (multiplicity 2)  4 Co 2.54

Properties
* crystal system: tetragonal
* mass density: 8.6 g/cm³

---

two) TlCoTe | PBE | relaxed

Unit cell a=3.2649 b=3.2649 c=13.7315 alpha=90.00 beta=90.00 gamma=90.00
Last column: nearest neighbours and their distance in Å.
Space group I4mm (No. 107)
Symmetry-distinct sites (fractional):
Tl (0.0000, 0.0000, 0.0000) (multiplicity 2)  4 Co 3.24, 4 Tl 3.26, 1 Te 3.36
Co (0.0000, 0.0000, 0.6655) (multiplicity 2)  4 Te 2.55
Te (0.0000, 0.0000, 0.2446) (multiplicity 2)  4 Co 2.55

Properties
* crystal system: tetragonal
* mass density: 8.9 g/cm³

---

Stability ranking, top and bottom: one) is the most stable and two) is the least stable.

---

one) TlCo2Te2 | PBE | relaxed

Unit cell a=3.7900 b=3.7900 c=16.1889 alpha=90.00 beta=90.00 gamma=90.00
Last column: nearest neighbours and their distance in Å.
Space group I4/mmm (No. 139)
Symmetry-distinct sites (fractional):
Tl (0.0000, 0.0000, 0.0000) (multiplicity 2)  8 Te 3.62, 4 Tl 3.79
Co (0.0000, 0.5000, 0.2500) (multiplicity 4)  4 Te 2.49, 4 Co 2.68
Te (0.0000, 0.0000, 0.3500) (multiplicity 4)  4 Co 2.49

Properties
* crystal system: tetragonal
* mass density: 8.2 g/cm³

---

two) TlCo2Te2 | PBE | relaxed

Unit cell a=4.7926 b=4.7926 c=9.2806 alpha=90.00 beta=90.00 gamma=90.00
Last column: nearest neighbours and their distance in Å.
Space group I4/mmm (No. 139)
Symmetry-distinct sites (fractional):
Tl (0.0000, 0.0000, 0.0000) (multiplicity 2)  8 Te 3.34, 10 Co 3.41-3.61
Co (0.0000, 0.0000, 0.3669) (multiplicity 4)  1 Co 2.47, 4 Te 2.63
Te (0.0000, 0.5000, 0.2500) (multiplicity 4)  4 Co 2.63

Properties
* crystal system: tetragonal
* mass density: 9.0 g/cm³

---

Stability ranking, top and bottom: one) is the most stable and two) is the least stable.